DFT (PBE-GGA) results for crystalline LaDy2Mg9 at its relaxed geometry.

Calculated values
Total energy (eV/atom): -2.440
Formation energy from the elements (eV per atom): -0.066
Space group: No. 166

```
LaDy2Mg9
1.0
3.032 1.750 9.841
-3.032 1.750 9.841
0.000 -3.501 9.841
La Dy Mg
1 2 9
direct
0.000 0.000 0.000
0.145 0.145 0.145
0.855 0.855 0.855
0.080 0.587 0.587
0.334 0.334 0.334
0.413 0.413 0.920
0.413 0.920 0.413
0.500 0.500 0.500
0.587 0.080 0.587
0.587 0.587 0.080
0.666 0.666 0.666
0.920 0.413 0.413
```